No. 1
# ZnS

An optimized crystal structure of ZnS (GGA-PBE, the Alexandria database).

## Properties
Magnetic moment, μB per atom: 0.000
Uncorrected formation energy, eV per atom: -0.807
DFT total energy, eV per atom: -3.508
Space group: P6_3mc

a b c (Å): 3.850 3.850 31.454
angles (deg): 90.00 90.00 120.00
Fractional coordinates of all 20 atoms:
Zn 0.000 0.000 0.000
Zn 0.000 0.000 0.200
Zn 0.000 0.000 0.500
Zn 0.000 0.000 0.700
Zn 0.333 0.667 0.100
Zn 0.333 0.667 0.400
Zn 0.333 0.667 0.800
Zn 0.667 0.333 0.300
Zn 0.667 0.333 0.600
Zn 0.667 0.333 0.900
S 0.000 0.000 0.075
S 0.000 0.000 0.275
S 0.000 0.000 0.575
S 0.000 0.000 0.775
S 0.333 0.667 0.175
S 0.333 0.667 0.475
S 0.333 0.667 0.875
S 0.667 0.333 0.375
S 0.667 0.333 0.675
S 0.667 0.333 0.975

No. 2
# CeMgSiAu

An optimized crystal structure of CeMgSiAu (GGA-PBE, the Alexandria database).

## Properties
Magnetic moment, μB per atom: 0.171
Uncorrected formation energy, eV per atom: -0.498
DFT total energy, eV per atom: -4.555
Space group: F-43m

a b c (Å): 4.936 4.936 4.936
angles (deg): 60.00 60.00 60.00
Fractional coordinates of all 4 atoms:
Ce 0.000 0.000 0.000
Mg 0.500 0.500 0.500
Si 0.250 0.250 0.250
Au 0.750 0.750 0.750

No. 3
# K2Rb6HgS

An optimized crystal structure of K2Rb6HgS (GGA-PBE, the Alexandria database).

## Properties
Magnetic moment, μB per atom: 0.134
Uncorrected formation energy, eV per atom: -0.292
DFT total energy, eV per atom: -1.535
Space group: I4mm

a b c (Å): 9.903 9.903 9.903
angles (deg): 119.98 119.98 90.03
Fractional coordinates of all 10 atoms:
K 0.000 0.500 0.500
K 0.500 0.000 0.500
Rb 0.019 0.019 0.000
Rb 0.020 0.020 0.540
Rb 0.020 0.480 0.000
Rb 0.480 0.020 0.000
Rb 0.480 0.480 0.000
Rb 0.480 0.480 0.460
Hg 0.749 0.749 0.000
S 0.249 0.249 0.000

No. 4
# ZrCuBi2

An optimized crystal structure of ZrCuBi2 (GGA-PBE, the Alexandria database).

## Properties
Magnetic moment, μB per atom: 0.000
DFT total energy, eV per atom: -4.885
Formation energy from the elements, eV/f.u.: 0.86
Space group: Fm-3m

a b c (Å): 5.143 5.143 5.143
angles (deg): 60.00 60.00 60.00
Fractional coordinates of all 4 atoms:
Zr 0.000 0.000 0.000
Cu 0.500 0.500 0.500
Bi 0.250 0.250 0.250
Bi 0.750 0.750 0.750